A plane-wave DFT calculation with PBE was carried out for a geometry-optimized Ru2C structure.

Cell and atoms, written as extended XYZ:
```
12
Lattice="10.7729 -0.0013 0.0000 9.3250 5.3943 0.0000 -10.0489 -2.6965 2.7933" Properties=species:S:1:pos:R:3 pbc="T T T"
Ru 15.4697 4.1511 0.0000
Ru 4.6282 1.2419 0.0000
Ru 0.0343 1.4553 1.3966
Ru 9.2907 3.9391 1.3966
Ru 11.9723 3.2126 0.0000
Ru 8.1255 2.1804 0.0000
Ru 7.3098 0.5155 1.3966
Ru 3.4630 -0.5168 1.3966
C 19.3656 5.1965 0.0000
C 0.7323 0.1965 0.0000
C 3.9302 2.5007 1.3966
C 5.3948 2.8937 1.3966
```

Results
The polymorph energy (0 for the lowest one) comes out at 833 meV per atom. The value obtained for the density of states at the Fermi level is 10.605 states/eV/cell. The calculation puts the electronic total energy at -97.4 eV for the cell shown. Its formation energy from the elements is 1.142 eV/atom.